(1)
The following is a PBE-GGA calculation of a relaxed structure of Li2PmDy2In2, from Alexandria via LeMat-Bulk. Values from VASP.

Structure (Quantum ESPRESSO input):
```
&SYSTEM
  ibrav = 0, nat = 7, ntyp = 4
/
ATOMIC_SPECIES
In 114.82 In.upf
Li 6.94 Li.upf
Dy 162.50 Dy.upf
Pm 145.00 Pm.upf
CELL_PARAMETERS angstrom
4.897 0.000 0.000
2.448 4.241 0.000
2.448 1.414 8.825
ATOMIC_POSITIONS crystal
In 0.260 0.260 0.219
Li 0.401 0.401 0.798
In 0.740 0.740 0.781
Dy 0.872 0.872 0.385
Dy 0.128 0.128 0.615
Li 0.599 0.599 0.202
Pm 0.000 0.000 0.000
```

The formation energy is -233 meV per atom. The density of states at the Fermi level is 5.583 states/eV/f.u. The calculated total energy comes out at -24.9 eV/f.u. For the total magnetization, the calculation gives 0.00 μB per atom.


(2)
The following is a PBE-GGA calculation of a relaxed structure of LiPmDyIn, from Alexandria via LeMat-Bulk. Values from VASP.

Structure (Quantum ESPRESSO input):
```
&SYSTEM
  ibrav = 0, nat = 4, ntyp = 4
/
ATOMIC_SPECIES
Pm 145.00 Pm.upf
Dy 162.50 Dy.upf
In 114.82 In.upf
Li 6.94 Li.upf
CELL_PARAMETERS angstrom
-1.499 1.810 -4.795
-4.440 -1.881 -2.296
-4.306 3.127 -0.447
ATOMIC_POSITIONS crystal
Pm 0.250 0.250 0.250
Dy 0.750 0.750 0.750
In 0.500 0.500 0.500
Li 0.000 0.000 0.000
```

The formation energy is -264 meV per atom. The density of states at the Fermi level is 4.233 states/eV/f.u. The calculated total energy comes out at -15.1 eV/f.u. For the total magnetization, the calculation gives 0.00 μB per atom.


(3)
The following is a PBE-GGA calculation of a relaxed structure of LiPmDy2In4, from Alexandria via LeMat-Bulk. Values from VASP.

Structure (Quantum ESPRESSO input):
```
&SYSTEM
  ibrav = 0, nat = 8, ntyp = 4
/
ATOMIC_SPECIES
Dy 162.50 Dy.upf
In 114.82 In.upf
Pm 145.00 Pm.upf
Li 6.94 Li.upf
CELL_PARAMETERS angstrom
5.231 0.000 0.000
2.616 4.530 0.000
2.616 1.510 8.779
ATOMIC_POSITIONS crystal
Dy 0.246 0.246 0.262
In 0.378 0.378 0.865
Pm 0.000 0.000 0.000
In 0.873 0.873 0.382
Li 0.500 0.500 0.500
In 0.622 0.622 0.135
In 0.127 0.127 0.618
Dy 0.754 0.754 0.738
```

The formation energy is -420 meV per atom. The density of states at the Fermi level is 4.014 states/eV/f.u. The calculated total energy comes out at -30.2 eV/f.u. For the total magnetization, the calculation gives 0.00 μB per atom.


(4)
The following is a PBE-GGA calculation of a relaxed structure of LiPm2DyIn4, from Alexandria via LeMat-Bulk. Values from VASP.

Structure (Quantum ESPRESSO input):
```
&SYSTEM
  ibrav = 0, nat = 8, ntyp = 4
/
ATOMIC_SPECIES
In 114.82 In.upf
Pm 145.00 Pm.upf
Li 6.94 Li.upf
Dy 162.50 Dy.upf
CELL_PARAMETERS angstrom
-0.780 1.614 4.953
2.106 -2.690 4.009
7.711 4.620 2.510
ATOMIC_POSITIONS crystal
In 0.875 0.875 0.376
Pm 0.245 0.245 0.266
Pm 0.755 0.755 0.734
In 0.376 0.376 0.873
In 0.624 0.624 0.127
Li 0.500 0.500 0.500
In 0.125 0.125 0.624
Dy 0.000 0.000 0.000
```

The formation energy is -432 meV per atom. The density of states at the Fermi level is 4.202 states/eV/f.u. The calculated total energy comes out at -30.4 eV/f.u. For the total magnetization, the calculation gives 0.00 μB per atom.


(5)
The following is a PBE-GGA calculation of a relaxed structure of LiDyPuIn, from Alexandria via LeMat-Bulk. Values from VASP.

Structure (Quantum ESPRESSO input):
```
&SYSTEM
  ibrav = 0, nat = 4, ntyp = 4
/
ATOMIC_SPECIES
Li 6.94 Li.upf
Dy 162.50 Dy.upf
Pu 244.00 Pu.upf
In 114.82 In.upf
CELL_PARAMETERS angstrom
5.290 0.000 0.000
2.645 4.581 0.000
2.645 1.527 4.319
ATOMIC_POSITIONS crystal
Li 0.750 0.750 0.750
Dy 0.000 0.000 0.000
Pu 0.500 0.500 0.500
In 0.250 0.250 0.250
```

The formation energy is -31 meV per atom. The density of states at the Fermi level is 7.797 states/eV/f.u. The calculated total energy comes out at -23.7 eV/f.u. For the total magnetization, the calculation gives 1.57 μB per atom.


(6)
The following is a PBE-GGA calculation of a relaxed structure of LiDy3In3Ru2, from Alexandria via LeMat-Bulk. Values from VASP.

Structure (Quantum ESPRESSO input):
```
&SYSTEM
  ibrav = 0, nat = 9, ntyp = 4
/
ATOMIC_SPECIES
Ru 101.07 Ru.upf
In 114.82 In.upf
Dy 162.50 Dy.upf
Li 6.94 Li.upf
CELL_PARAMETERS angstrom
-1.739 -0.793 3.321
6.083 -4.015 2.228
-0.427 7.449 1.554
ATOMIC_POSITIONS crystal
Ru 0.500 0.667 0.333
In 0.500 0.000 0.742
Dy 0.000 0.582 0.582
Ru 0.500 0.333 0.667
Dy 0.000 0.000 0.418
Dy 0.000 0.418 0.000
In 0.500 0.258 0.258
Li 0.000 0.000 0.000
In 0.500 0.742 0.000
```

The formation energy is -374 meV per atom. The density of states at the Fermi level is 7.132 states/eV/f.u. The calculated total energy comes out at -45.9 eV/f.u. For the total magnetization, the calculation gives 0.00 μB per atom.


(7)
The following is a PBE-GGA calculation of a relaxed structure of LiDyIn4S8, from Alexandria via LeMat-Bulk. Values from VASP.

Structure (Quantum ESPRESSO input):
```
&SYSTEM
  ibrav = 0, nat = 14, ntyp = 4
/
ATOMIC_SPECIES
S 32.06 S.upf
In 114.82 In.upf
Li 6.94 Li.upf
Dy 162.50 Dy.upf
CELL_PARAMETERS angstrom
-0.074 7.518 -1.944
-6.710 3.906 -0.150
-1.474 5.395 5.408
ATOMIC_POSITIONS crystal
S 0.251 0.251 0.736
S 0.225 0.756 0.263
S 0.251 0.761 0.736
In 0.623 0.623 0.132
S 0.756 0.225 0.263
In 0.006 0.006 0.508
S 0.243 0.243 0.271
Li 0.376 0.376 0.873
In 0.480 0.006 0.508
S 0.759 0.759 0.724
S 0.761 0.251 0.736
In 0.006 0.480 0.508
Dy 0.008 0.008 0.976
S 0.756 0.756 0.263
```

The calculated total energy comes out at -63.2 eV/f.u. For the total magnetization, the calculation gives 0.00 μB per atom. The calculation puts the formation energy from raw total energies at -0.91 eV per atom.


(8)
The following is a PBE-GGA calculation of a relaxed structure of Li2DyInS4, from Alexandria via LeMat-Bulk. Values from VASP.

Structure (Quantum ESPRESSO input):
```
&SYSTEM
  ibrav = 0, nat = 8, ntyp = 4
/
ATOMIC_SPECIES
S 32.06 S.upf
In 114.82 In.upf
Dy 162.50 Dy.upf
Li 6.94 Li.upf
CELL_PARAMETERS angstrom
3.849 0.000 0.000
0.000 6.595 -0.118
0.000 2.337 6.195
ATOMIC_POSITIONS crystal
S 0.500 0.754 0.248
S 0.000 0.746 0.763
In 0.500 0.500 0.000
S 0.500 0.246 0.752
Dy 0.000 0.500 0.500
S 0.000 0.254 0.237
Li 0.000 0.000 0.000
Li 0.500 0.000 0.500
```

The calculated total energy comes out at -38.4 eV/f.u. For the total magnetization, the calculation gives 0.00 μB per atom. The calculation puts the formation energy from raw total energies at -1.34 eV per atom.